A plane-wave DFT calculation with PBE-GGA was carried out for a relaxed RbNa2Lu crystal.

Structure (POSCAR):
```
RbNa2Lu
1.0
3.688 0.000 0.000
1.844 3.194 0.000
1.844 1.065 14.389
Na Rb Lu
2 1 1
Direct
0.079 0.079 0.763
0.921 0.921 0.237
0.500 0.500 0.500
0.000 0.000 0.000
```

E_form in eV/atom: 0.450
SG: R-3m, No. 166

A plane-wave DFT calculation with PBE-GGA was carried out for a relaxed BeBiPt3 crystal.

Structure (POSCAR):
```
BeBiPt3
1.0
4.443 0.000 0.000
0.000 2.888 -3.539
0.000 2.888 3.539
Pt Be Bi
3 1 1
Direct
0.500 0.180 0.340
0.500 0.660 0.820
0.000 0.015 0.985
0.500 0.167 0.833
0.000 0.606 0.394
```

E_form in eV/atom: -0.171
Relative energy among the computed polymorphs in meV/atom: 261
SG: Amm2, No. 38

A plane-wave DFT calculation with PBE-GGA was carried out for a relaxed NdInGe4 crystal.

Structure (POSCAR):
```
NdInGe4
1.0
5.692 0.000 0.000
2.846 4.929 0.000
2.846 1.643 4.647
In Ge Nd
1 4 1
Direct
0.000 0.000 0.000
0.125 0.625 0.625
0.625 0.625 0.125
0.625 0.125 0.625
0.625 0.625 0.625
0.250 0.250 0.250
```

E_form in eV/atom: -0.195
SG: F-43m, No. 216

A plane-wave DFT calculation with PBE-GGA was carried out for a relaxed TiMoPd2 crystal.

Structure (POSCAR):
```
TiMoPd2
1.0
-1.454 -0.925 2.208
0.042 -2.720 0.664
6.798 0.210 6.340
Pd Ti Mo
2 1 1
Direct
0.748 0.748 0.755
0.252 0.252 0.245
0.000 0.000 0.000
0.500 0.500 0.500
```

E_form in eV/atom: -0.129
Relative energy among the computed polymorphs in meV/atom: 134
SG: R-3m, No. 166

A plane-wave DFT calculation with PBE-GGA was carried out for a relaxed V2InMoIr crystal.

Structure (POSCAR):
```
V2InMoIr
1.0
-3.888 -1.752 1.134
2.306 -4.424 1.071
0.615 1.329 4.163
Mo V In Ir
1 2 1 1
Direct
0.000 0.000 0.000
0.500 0.000 0.000
0.000 0.000 0.500
0.000 0.500 0.000
0.500 0.500 0.500
```

E_form in eV/atom: 1.439
SG: P4/mmm, No. 123

A plane-wave DFT calculation with PBE-GGA was carried out for a relaxed Si2AgBiTe crystal.

Structure (POSCAR):
```
Si2AgBiTe
1.0
-0.865 4.833 -2.313
-0.339 -2.631 -5.369
-5.349 -0.644 0.654
Si Te Bi Ag
2 1 1 1
Direct
0.500 0.000 0.000
0.000 0.000 0.500
0.000 0.500 0.000
0.000 0.000 0.000
0.500 0.500 0.500
```

ΔE_f (raw) in eV per atom: 1.306
SG: P4/mmm, No. 123

A plane-wave DFT calculation with PBE-GGA was carried out for a relaxed Nd3CoNi crystal.

Structure (POSCAR):
```
Nd3CoNi
1.0
3.809 -0.001 0.000
-1.907 8.013 0.619
-0.001 0.356 8.258
Nd Co Ni
6 2 2
Direct
0.081 0.195 0.379
0.963 0.959 0.043
0.248 0.528 0.019
0.621 0.276 0.761
0.796 0.626 0.403
0.423 0.878 0.660
0.242 0.517 0.659
0.802 0.637 0.763
0.442 0.918 0.297
0.602 0.236 0.124
```

E_form in eV/atom: -0.119
Relative energy among the computed polymorphs in meV/atom: 16
SG: C2/m, No. 12

A plane-wave DFT calculation with PBE-GGA was carried out for a relaxed HgPdAu crystal.

Structure (POSCAR):
```
HgPdAu
1.0
-3.052 2.555 -1.125
-3.660 -1.875 5.673
4.424 5.425 0.320
Hg Pd Au
3 3 3
Direct
0.500 0.572 0.572
0.500 0.000 0.428
0.500 0.428 0.000
0.500 0.000 0.000
0.000 0.333 0.667
0.000 0.667 0.333
0.000 0.246 0.246
0.000 0.754 0.000
0.000 0.000 0.754
```

E_form in eV/atom: 0.013
Relative energy among the computed polymorphs in meV/atom: 79
SG: P-62m, No. 189

A plane-wave DFT calculation with PBE-GGA was carried out for a relaxed PmTm6Sc6 crystal.

Structure (POSCAR):
```
PmTm6Sc6
1.0
-0.575 2.175 -5.950
-4.745 -3.304 2.651
-4.309 9.232 3.791
Sc Tm Pm
6 6 1
Direct
0.500 0.000 0.758
0.000 0.500 0.758
0.500 0.500 0.242
0.500 0.000 0.242
0.000 0.500 0.242
0.500 0.500 0.758
0.000 0.000 0.658
0.000 0.000 0.342
0.333 0.667 0.000
0.667 0.333 0.500
0.333 0.667 0.500
0.667 0.333 0.000
0.000 0.000 0.000
```

E_form in eV/atom: 0.229
SG: P6/mmm, No. 191

A plane-wave DFT calculation with PBE-GGA was carried out for a relaxed Pu5SnRh6 crystal.

Structure (POSCAR):
```
Pu5SnRh6
1.0
-1.737 0.220 -4.388
-5.580 -3.353 2.041
0.425 7.920 2.772
Pu Rh Sn
5 6 1
Direct
0.679 0.679 0.358
0.338 0.838 0.676
0.000 0.500 0.000
0.321 0.321 0.642
0.662 0.162 0.324
0.500 0.746 0.000
0.156 0.404 0.312
0.156 0.908 0.312
0.844 0.596 0.688
0.500 0.254 0.000
0.844 0.092 0.688
0.000 0.000 0.000
```

E_form in eV/atom: -0.406
SG: Immm, No. 71

A plane-wave DFT calculation with PBE-GGA was carried out for a relaxed RbAcIn crystal.

Structure (POSCAR):
```
RbAcIn
1.0
7.830 0.000 0.000
3.915 4.521 0.000
3.915 0.000 8.459
Ac In Rb
2 2 2
Direct
0.750 0.500 0.500
0.250 0.500 0.500
0.652 0.000 0.697
0.348 0.000 0.303
0.203 0.595 0.000
0.797 0.405 0.000
```

E_form in eV/atom: 0.068
Relative energy among the computed polymorphs in meV/atom: 68
SG: Fmmm, No. 69

A plane-wave DFT calculation with PBE-GGA was carried out for a relaxed K2AcPrSe4 crystal.

Structure (POSCAR):
```
K2AcPrSe4
1.0
-1.503 -2.672 3.268
6.346 1.567 4.200
-5.732 5.478 1.842
K Se Pr Ac
2 4 1 1
Direct
0.000 0.500 0.500
0.500 0.000 0.500
0.000 0.730 0.213
0.500 0.248 0.217
0.500 0.752 0.783
0.000 0.270 0.787
0.500 0.500 0.000
0.000 0.000 0.000
```

ΔE_f (raw) in eV per atom: -1.778
SG: P2/m, No. 10